{"formula": "Sm3Sb2O", "functional": "PBE-GGA", "state": "optimized geometry", "total_magnetization_mub_per_atom": 0.00, "formation_energy_uncorrected_ev_per_atom": -1.56, "cell": [[-1.985, -4.792, 3.619], [4.572, 2.661, 6.032], [-4.470, 5.777, -0.329]], "species": ["Sb", "Sb", "Sb", "Sb", "Sm", "Sm", "Sm", "Sm", "Sm", "Sm", "O", "O"], "fractional_positions": [[0.271, 0.482, 0.667], [0.396, 0.982, 0.667], [0.729, 0.518, 0.333], [0.604, 0.018, 0.333], [0.944, 0.816, 0.699], [0.380, 0.250, 0.000], [0.620, 0.750, 0.000], [0.056, 0.184, 0.301], [0.755, 0.316, 0.699], [0.245, 0.684, 0.301], [0.970, 0.750, 0.000], [0.030, 0.250, 0.000]]}